Record 1
VASP calculation (PBEsol) on a geometry-optimized ZrTeMo structure.

```
ZrTeMo
1.0
-1.668 2.561 -0.836
-1.940 -2.144 1.296
2.830 2.335 5.513
Te Mo Zr
1 1 1
Direct
0.661 0.661 0.322
0.999 0.999 0.998
0.340 0.340 0.680
```

Properties
* relative energy among the computed polymorphs: 63.4 kJ/mol of formula units
* E: -7.947 eV/atom
* raw formation energy: 0.5 eV/f.u.
* total moment: 0.00 Bohr magnetons per cell

=====

Record 2
VASP calculation (PBEsol) on a geometry-optimized Zr2FeNi structure.

```
Zr2FeNi
1.0
-2.274 -1.907 -1.037
1.444 -0.209 -2.784
3.255 -5.004 2.063
Zr Fe Ni
2 1 1
Direct
0.000 0.000 0.754
0.000 0.000 0.246
0.500 0.500 0.000
0.500 0.500 0.500
```

Properties
* relative energy among the computed polymorphs: 5.1 kJ/mol of formula units
* E: -8.609 eV/atom
* total moment: 0.48 Bohr magnetons per cell
* energy of formation: -1.14 eV/f.u.

=====

Record 3
VASP calculation (PBEsol) on a geometry-optimized MgTl3As structure.

```
MgTl3As
1.0
5.530 0.000 0.000
0.000 5.530 0.000
0.000 0.000 5.530
Mg Tl As
1 3 1
Direct
0.500 0.500 0.500
0.500 0.000 0.000
0.000 0.500 0.000
0.000 0.000 0.500
0.000 0.000 0.000
```

Properties
* E: -2.545 eV/atom
* total moment: 0.00 Bohr magnetons per cell
* energy of formation: 1.99 eV/f.u.

=====

Record 4
VASP calculation (PBEsol) on a geometry-optimized Si2TcW structure.

```
Si2TcW
1.0
2.997 0.000 0.000
0.000 4.749 0.000
-1.499 -2.374 3.924
Tc Si W
1 2 1
Direct
0.500 0.000 0.000
0.245 0.245 0.491
0.755 0.755 0.509
0.000 0.500 0.000
```

Properties
* relative energy among the computed polymorphs: 169.3 kJ/mol of formula units
* E: -9.144 eV/atom
* raw formation energy: 0.0 eV/f.u.
* total moment: 0.00 Bohr magnetons per cell

=====

Record 5
VASP calculation (PBEsol) on a geometry-optimized Cu3SiSe structure.

```
Cu3SiSe
1.0
4.386 0.000 0.000
0.000 4.386 0.000
0.000 0.000 4.386
Se Cu Si
1 3 1
Direct
0.500 0.500 0.500
0.000 0.500 0.000
0.500 0.000 0.000
0.000 0.000 0.500
0.000 0.000 0.000
```

Properties
* E: -3.882 eV/atom
* raw formation energy: 3.2 eV/f.u.
* total moment: 0.00 Bohr magnetons per cell

=====

Record 6
VASP calculation (PBEsol) on a geometry-optimized BeIr3Os structure.

```
BeIr3Os
1.0
4.054 0.000 0.000
0.000 4.054 0.000
0.000 0.000 4.054
Os Ir Be
1 3 1
Direct
0.500 0.500 0.500
0.000 0.000 0.500
0.000 0.500 0.000
0.500 0.000 0.000
0.000 0.000 0.000
```

Properties
* E: -8.445 eV/atom
* total moment: 0.00 Bohr magnetons per cell
* energy of formation: 3.46 eV/f.u.